## P
NdHoH2: relaxed, PBE-GGA.

a b c (Å): 3.548 3.548 6.119
angles (deg): 73.15 73.15 60.00
Fractional coordinates of all 4 atoms:
Nd 0.000 0.000 0.000
H 0.243 0.243 0.271
H 0.757 0.757 0.729
Ho 0.500 0.500 0.500

Results
Its symmetry is R-3m (166). The density of states at the Fermi level comes out at 0.569 states/eV per atom. The value obtained for the size of the total moment is 0.00 μB per formula unit.



## Q
NdHoH2: relaxed, PBE-GGA.

a b c (Å): 3.543 3.543 6.343
angles (deg): 73.78 73.78 60.00
Fractional coordinates of all 4 atoms:
Ho 0.669 0.669 0.992
Nd 0.490 0.490 0.529
H 0.071 0.071 0.788
H 0.270 0.270 0.191

Results
Its symmetry is R3m (160). The density of states at the Fermi level comes out at 0.503 states/eV per atom. The value obtained for the size of the total moment is 0.00 μB per formula unit.



Q: Which of them is the most stable? A: P.



## P
HoNiH: relaxed, PBE-GGA.

a b c (Å): 6.347 6.347 6.347
angles (deg): 93.36 93.36 93.36
Fractional coordinates of all 18 atoms:
Ho 0.665 0.349 0.858
Ho 0.142 0.335 0.651
Ho 0.651 0.142 0.335
Ho 0.349 0.858 0.665
Ho 0.335 0.651 0.142
Ho 0.858 0.665 0.349
H 0.598 0.447 0.197
H 0.402 0.553 0.803
H 0.803 0.402 0.553
H 0.197 0.598 0.447
H 0.553 0.803 0.402
H 0.447 0.197 0.598
Ni 0.307 0.076 0.024
Ni 0.076 0.024 0.307
Ni 0.693 0.924 0.976
Ni 0.924 0.976 0.693
Ni 0.024 0.307 0.076
Ni 0.976 0.693 0.924

Results
Its symmetry is R-3 (148). The density of states at the Fermi level comes out at 0.639 states/eV per atom. The value obtained for the size of the total moment is 0.00 μB per formula unit.



## Q
HoNiH: relaxed, PBE-GGA.

a b c (Å): 3.443 3.740 3.740
angles (deg): 120.00 90.00 90.00
Fractional coordinates of all 3 atoms:
Ho 0.666 0.333 0.667
H 0.167 0.667 0.333
Ni 0.167 0.000 0.000

Results
Its symmetry is P-6m2 (187). The density of states at the Fermi level comes out at 0.509 states/eV per atom. The value obtained for the size of the total moment is 0.00 μB per formula unit.



Q: Which of them is the most stable? A: P.



## P
Ho2NiH: relaxed, PBE-GGA.

a b c (Å): 3.789 3.789 6.324
angles (deg): 72.57 72.57 60.00
Fractional coordinates of all 4 atoms:
H 0.500 0.500 0.500
Ni 0.000 0.000 0.000
Ho 0.244 0.244 0.267
Ho 0.756 0.756 0.733

Results
Its symmetry is R-3m (166). The density of states at the Fermi level comes out at 0.680 states/eV per atom. The value obtained for the size of the total moment is 0.00 μB per formula unit.



## Q
Ho2NiH: relaxed, PBE-GGA.

a b c (Å): 3.216 3.216 6.829
angles (deg): 90.00 90.00 90.00
Fractional coordinates of all 4 atoms:
H 0.500 0.500 0.500
Ni 0.500 0.500 0.000
Ho 0.000 0.000 0.250
Ho 0.000 0.000 0.750

Results
Its symmetry is P4/mmm (123). The density of states at the Fermi level comes out at 0.743 states/eV per atom. The value obtained for the size of the total moment is 0.00 μB per formula unit.



Q: Which of them is the most stable? A: P.



## P
HoHO: relaxed, PBE-GGA.

a b c (Å): 3.679 3.679 6.708
angles (deg): 74.09 74.09 60.00
Fractional coordinates of all 6 atoms:
O 0.115 0.115 0.654
O 0.885 0.885 0.346
Ho 0.500 0.500 0.500
Ho 0.000 0.000 0.000
H 0.642 0.642 0.075
H 0.358 0.358 0.925

Results
Its symmetry is R-3m (166). The density of states at the Fermi level comes out at 0.000 states/eV per atom. The value obtained for the size of the total moment is 0.00 μB per formula unit.



## Q
HoHO: relaxed, PBE-GGA.

a b c (Å): 3.726 3.726 3.726
angles (deg): 60.00 60.00 60.00
Fractional coordinates of all 3 atoms:
Ho 0.250 0.250 0.250
O 0.500 0.500 0.500
H 0.000 0.000 0.000

Results
Its symmetry is F-43m (216). The density of states at the Fermi level comes out at 0.000 states/eV per atom. The value obtained for the size of the total moment is 0.00 μB per formula unit.



## R
HoHO: relaxed, PBE-GGA.

a b c (Å): 5.056 3.547 3.547
angles (deg): 120.00 90.00 90.00
Fractional coordinates of all 3 atoms:
Ho 0.032 0.000 0.000
O 0.169 0.333 0.667
H 0.800 0.667 0.333

Results
Its symmetry is P3m1 (156). The density of states at the Fermi level comes out at 0.000 states/eV per atom. The value obtained for the size of the total moment is 0.00 μB per formula unit.



Q: Which of them is the most stable? A: Q.



## P
Ho2HO: relaxed, PBE-GGA.

a b c (Å): 3.444 3.444 5.955
angles (deg): 73.19 73.19 60.00
Fractional coordinates of all 4 atoms:
Ho 0.247 0.247 0.260
Ho 0.753 0.753 0.740
O 0.500 0.500 0.500
H 0.000 0.000 0.000

Results
Its symmetry is R-3m (166). The density of states at the Fermi level comes out at 0.596 states/eV per atom. The value obtained for the size of the total moment is 0.00 μB per formula unit.



## Q
Ho2HO: relaxed, PBE-GGA.

a b c (Å): 3.409 3.409 6.205
angles (deg): 74.05 74.05 60.00
Fractional coordinates of all 4 atoms:
H 0.672 0.672 0.984
O 0.498 0.498 0.505
Ho 0.252 0.252 0.244
Ho 0.077 0.077 0.768

Results
Its symmetry is R3m (160). The density of states at the Fermi level comes out at 0.598 states/eV per atom. The value obtained for the size of the total moment is 0.00 μB per formula unit.



Q: Which of them is the most stable? A: P.



## P
Ho2PH: relaxed, PBE-GGA.

a b c (Å): 3.988 3.988 7.383
angles (deg): 74.33 74.33 60.00
Each line ends with the local moment (μB).
Fractional coordinates of all 4 atoms:
Ho 0.096 0.096 0.711  0.22
Ho 0.904 0.904 0.289  0.22
P 0.500 0.500 0.500  -0.01
H 0.000 0.000 0.000  0.00

Results
Its symmetry is R-3m (166). The density of states at the Fermi level comes out at 0.652 states/eV per atom. The value obtained for the size of the total moment is 0.91 μB per formula unit.



## Q
Ho2PH: relaxed, PBE-GGA.

a b c (Å): 3.807 3.807 7.140
angles (deg): 74.54 74.54 60.00
Fractional coordinates of all 4 atoms:
Ho 0.271 0.271 0.186
Ho 0.096 0.096 0.713
H 0.454 0.454 0.637
P 0.679 0.679 0.963

Results
Its symmetry is R3m (160). The density of states at the Fermi level comes out at 0.029 states/eV per atom. The value obtained for the size of the total moment is 0.00 μB per formula unit.



Q: Which of them is the most stable? A: Q.



## P
HoHPb: relaxed, PBE-GGA.

a b c (Å): 5.161 3.651 3.651
angles (deg): 120.00 90.00 90.00
Fractional coordinates of all 3 atoms:
Pb 0.667 0.333 0.667
H 0.166 0.000 0.000
Ho 0.167 0.667 0.333

Results
Its symmetry is P-6m2 (187). The density of states at the Fermi level comes out at 0.244 states/eV per atom. The value obtained for the size of the total moment is 0.00 μB per formula unit.



## Q
HoHPb: relaxed, PBE-GGA.

a b c (Å): 3.245 3.245 6.274
angles (deg): 104.99 104.99 90.00
Each line ends with the local moment (μB).
Fractional coordinates of all 3 atoms:
Pb 0.005 0.005 0.010  0.01
Ho 0.727 0.727 0.454  0.38
H 0.268 0.268 0.536  -0.01

Results
Its symmetry is I4mm (107). The density of states at the Fermi level comes out at 0.318 states/eV per atom. The value obtained for the size of the total moment is 0.43 μB per formula unit.



## R
HoHPb: relaxed, PBE-GGA.

a b c (Å): 6.843 8.753 8.753
angles (deg): 90.00 90.00 90.00
Fractional coordinates of all 24 atoms:
H 0.865 0.116 0.059
H 0.635 0.616 0.441
H 0.635 0.384 0.559
H 0.365 0.559 0.616
H 0.135 0.941 0.116
H 0.135 0.059 0.884
H 0.365 0.441 0.384
H 0.865 0.884 0.941
Pb 0.529 0.342 0.934
Pb 0.029 0.566 0.158
Pb 0.471 0.066 0.342
Pb 0.029 0.434 0.842
Pb 0.971 0.842 0.566
Pb 0.971 0.158 0.434
Pb 0.471 0.934 0.658
Pb 0.529 0.658 0.066
Ho 0.838 0.904 0.189
Ho 0.162 0.811 0.904
Ho 0.162 0.189 0.096
Ho 0.662 0.404 0.311
Ho 0.838 0.096 0.811
Ho 0.662 0.596 0.689
Ho 0.338 0.311 0.596
Ho 0.338 0.689 0.404

Results
Its symmetry is P-42_1c (114). The density of states at the Fermi level comes out at 0.188 states/eV per atom. The value obtained for the size of the total moment is 0.00 μB per formula unit.



## S
HoHPb: relaxed, PBE-GGA.

a b c (Å): 3.559 5.581 6.329
angles (deg): 85.77 73.72 89.87
Fractional coordinates of all 6 atoms:
Pb 0.785 0.991 0.242
Pb 0.574 0.297 0.654
H 0.910 0.521 0.989
H 0.449 0.767 0.907
Ho 0.042 0.792 0.720
Ho 0.317 0.496 0.176

Results
Its symmetry is P-1 (2). The density of states at the Fermi level comes out at 0.387 states/eV per atom. The value obtained for the size of the total moment is 0.00 μB per formula unit.



Q: Which of them is the most stable? A: P.



## P
Ho3HPb: relaxed, PBE-GGA.

a b c (Å): 3.571 6.584 10.391
angles (deg): 99.04 90.00 90.00
Fractional coordinates of all 10 atoms:
Pb 0.250 0.290 0.157
Pb 0.750 0.710 0.843
Ho 0.750 0.224 0.897
Ho 0.250 0.776 0.103
Ho 0.750 0.601 0.365
Ho 0.750 0.084 0.367
Ho 0.250 0.399 0.635
Ho 0.250 0.916 0.633
H 0.250 0.828 0.326
H 0.750 0.172 0.674

Results
Its symmetry is P2_1/m (11). The density of states at the Fermi level comes out at 0.895 states/eV per atom. The value obtained for the size of the total moment is 0.00 μB per formula unit.



## Q
Ho3HPb: relaxed, PBE-GGA.

a b c (Å): 4.823 4.823 4.823
angles (deg): 90.00 90.00 90.00
Each line ends with the local moment (μB).
Fractional coordinates of all 5 atoms:
Ho 0.000 0.500 0.000  0.25
Ho 0.500 0.000 0.000  0.25
Ho 0.000 0.000 0.500  0.25
H 0.000 0.000 0.000  -0.01
Pb 0.500 0.500 0.500  0.00

Results
Its symmetry is Pm-3m (221). The density of states at the Fermi level comes out at 1.099 states/eV per atom. The value obtained for the size of the total moment is 0.90 μB per formula unit.



Q: Which of them is the most stable? A: Q.



## P
Ho2HPd: relaxed, PBE-GGA.

a b c (Å): 3.294 3.294 6.996
angles (deg): 90.00 90.00 90.00
Fractional coordinates of all 4 atoms:
Ho 0.000 0.000 0.261
Ho 0.000 0.000 0.739
H 0.500 0.500 0.500
Pd 0.500 0.500 0.000

Results
Its symmetry is P4/mmm (123). The density of states at the Fermi level comes out at 0.860 states/eV per atom. The value obtained for the size of the total moment is 0.00 μB per formula unit.



## Q
Ho2HPd: relaxed, PBE-GGA.

a b c (Å): 3.353 3.353 8.301
angles (deg): 78.35 78.35 60.00
Fractional coordinates of all 4 atoms:
Ho 0.891 0.891 0.326
Ho 0.109 0.109 0.674
H 0.500 0.500 0.500
Pd 0.000 0.000 0.000

Results
Its symmetry is R-3m (166). The density of states at the Fermi level comes out at 0.756 states/eV per atom. The value obtained for the size of the total moment is 0.00 μB per formula unit.



Q: Which of them is the most stable? A: P.



## P
Pm2HoH: relaxed, PBE-GGA.

a b c (Å): 3.663 3.663 8.940
angles (deg): 78.18 78.18 60.00
Fractional coordinates of all 4 atoms:
H 0.000 0.000 0.000
Pm 0.722 0.722 0.834
Pm 0.278 0.278 0.166
Ho 0.500 0.500 0.500

Results
Its symmetry is R-3m (166). The density of states at the Fermi level comes out at 0.693 states/eV per atom. The value obtained for the size of the total moment is 0.00 μB per formula unit.



## Q
Pm2HoH: relaxed, PBE-GGA.

a b c (Å): 3.417 3.417 8.560
angles (deg): 90.00 90.00 90.00
Fractional coordinates of all 4 atoms:
Pm 0.000 0.000 0.192
Pm 0.000 0.000 0.808
H 0.500 0.500 0.000
Ho 0.500 0.500 0.500

Results
Its symmetry is P4/mmm (123). The density of states at the Fermi level comes out at 0.927 states/eV per atom. The value obtained for the size of the total moment is 0.00 μB per formula unit.



Q: Which of them is the most stable? A: P.



## P
Pr2HoH: relaxed, PBE-GGA.

a b c (Å): 3.467 3.467 8.664
angles (deg): 90.00 90.00 90.00
Fractional coordinates of all 4 atoms:
H 0.500 0.500 0.000
Ho 0.500 0.500 0.500
Pr 0.000 0.000 0.191
Pr 0.000 0.000 0.809

Results
Its symmetry is P4/mmm (123). The density of states at the Fermi level comes out at 1.046 states/eV per atom. The value obtained for the size of the total moment is 0.00 μB per formula unit.



## Q
Pr2HoH: relaxed, PBE-GGA.

a b c (Å): 3.694 3.694 9.127
angles (deg): 78.33 78.33 60.00
Fractional coordinates of all 4 atoms:
Pr 0.723 0.723 0.830
Pr 0.277 0.277 0.170
H 0.000 0.000 0.000
Ho 0.500 0.500 0.500

Results
Its symmetry is R-3m (166). The density of states at the Fermi level comes out at 0.789 states/eV per atom. The value obtained for the size of the total moment is 0.00 μB per formula unit.



Q: Which of them is the most stable? A: Q.